# PBE with a Hubbard U RbLiCr2O6, optimized geometry
data_RbLiCr2O6
_chemical_formula_sum 'Rb4 Li4 Cr8 O24'
_cell_length_a 10.618
_cell_length_b 11.811
_cell_length_c 5.444
_cell_angle_alpha 90.00
_cell_angle_beta 104.71
_cell_angle_gamma 90.00
_symmetry_space_group_name_H-M 'C 1 2/c 1'
_symmetry_Int_Tables_number 15
loop_
_symmetry_equiv_pos_as_xyz
'x,y,z'
'-x,-y,-z'
'-x,y,-z+1/2'
'x,-y,z+1/2'
'x+1/2,y+1/2,z'
'-x+1/2,-y+1/2,-z'
'-x+1/2,y+1/2,-z+1/2'
'x+1/2,-y+1/2,z+1/2'
loop_
_atom_site_label
_atom_site_fract_x
_atom_site_fract_y
_atom_site_fract_z
_atom_site_occupancy
Rb1 0.000 0.119 0.250 1
Li1 0.000 0.258 0.750 1
Cr1 0.212 0.416 0.197 1
O1 0.089 0.333 0.063 1
O2 0.136 0.131 0.767 1
O3 0.202 0.454 0.517 1
# E_tot, eV per atom: -6.295
# M_tot, Bohr magnetons per cell: 8.00